Below is a relaxed structure of LaZn2Ru, with properties calculated at the GGA-PBE level.

abc: 8.816 3.860 5.035
angles: 90.00 108.25 90.00
Space group C2/m (No. 12)
Asymmetric unit:
La (0.000, 0.000, 0.000) [2 per cell]
Zn (0.218, 0.000, 0.630) [4 per cell]
Ru (0.000, 0.500, 0.500) [2 per cell]

Results
Formation energy (eV/atom): -0.185
Fermi-level density of states (states/eV/f.u.): 2.58